# Tm5TlAu4 (PBE-GGA, optimized geometry)
data_Tm5TlAu4
_chemical_formula_sum 'Tm5 Tl1 Au4'
_cell_length_a 3.549
_cell_length_b 3.549
_cell_length_c 18.448
_cell_angle_alpha 90.00
_cell_angle_beta 90.00
_cell_angle_gamma 90.00
_space_group_name_H-M_alt 'P 1'
_space_group_IT_number 1
loop_
_space_group_symop_operation_xyz
'x,y,z'
loop_
_atom_site_label
_atom_site_type_symbol
_atom_site_fract_x
_atom_site_fract_y
_atom_site_fract_z
Tm1 Tm 0.500 0.500 0.115
Tm2 Tm 0.500 0.500 0.307
Tm3 Tm 0.500 0.500 0.500
Tm4 Tm 0.500 0.500 0.693
Tm5 Tm 0.500 0.500 0.885
Tl1 Tl 0.000 0.000 0.000
Au1 Au 0.000 0.000 0.208
Au2 Au 0.000 0.000 0.403
Au3 Au 0.000 0.000 0.597
Au4 Au 0.000 0.000 0.792
# Symmetry ... P4/mmm
# Size of the total moment ... 0.000 μB per cell
# Raw total energy ... -45.6 eV per formula unit
# Crystal system ... tetragonal

=====

# LaGa2SnPd (PBE-GGA, optimized geometry)
data_LaGa2SnPd
_chemical_formula_sum 'La1 Ga2 Sn1 Pd1'
_cell_length_a 5.224
_cell_length_b 6.306
_cell_length_c 5.224
_cell_angle_alpha 90.00
_cell_angle_beta 90.00
_cell_angle_gamma 90.00
_space_group_name_H-M_alt 'P 1'
_space_group_IT_number 1
loop_
_space_group_symop_operation_xyz
'x,y,z'
loop_
_atom_site_label
_atom_site_type_symbol
_atom_site_fract_x
_atom_site_fract_y
_atom_site_fract_z
Ga1 Ga 0.000 0.000 0.500
Ga2 Ga 0.500 0.000 0.000
Sn1 Sn 0.000 0.000 0.000
Pd1 Pd 0.500 0.500 0.500
La1 La 0.000 0.500 0.000
# Symmetry ... P4/mmm
# Size of the total moment ... 0.000 μB per cell
# Raw total energy ... -17.8 eV per formula unit
# Crystal system ... tetragonal